Computed, not measured: PrAl5Ni3 after structural relaxation at the PBE-GGA level of DFT.

```
data_PrAl5Ni3
_cell_length_a 3.9578
_cell_length_b 6.4884
_cell_length_c 12.2254
_cell_angle_alpha 90.00
_cell_angle_beta 90.00
_cell_angle_gamma 107.76
_symmetry_space_group_name_H-M 'P 1'
_symmetry_Int_Tables_number 1
loop_
_symmetry_equiv_pos_as_xyz
'x,y,z'
loop_
_atom_site_label
_atom_site_type_symbol
_atom_site_fract_x
_atom_site_fract_y
_atom_site_fract_z
Pr1 Pr 0.8317 0.6634 0.7500
Pr2 Pr 0.1683 0.3366 0.2500
Al1 Al 0.7968 0.5936 0.4351
Al2 Al 0.2032 0.4064 0.9351
Al3 Al 0.0000 0.0000 0.5000
Al4 Al 0.0000 0.0000 0.0000
Al5 Al 0.4457 0.8913 0.1485
Al6 Al 0.5543 0.1087 0.8515
Al7 Al 0.5543 0.1087 0.6485
Al8 Al 0.7968 0.5936 0.0649
Al9 Al 0.2032 0.4064 0.5649
Al10 Al 0.4457 0.8913 0.3515
Ni1 Ni 0.3920 0.7840 0.9633
Ni2 Ni 0.8796 0.7593 0.2500
Ni3 Ni 0.3920 0.7840 0.5367
Ni4 Ni 0.6080 0.2160 0.4633
Ni5 Ni 0.1204 0.2407 0.7500
Ni6 Ni 0.6080 0.2160 0.0367
```

Summary:
energy relative to the elements	-0.527	eV/atom
space group	No. 63